Fe2SiGeC, relaxed, DFT GGA-PBE; E_form (uncorrected) = 25.53 kcal/mol of atoms
1.0
4.471 0.000 0.000
0.000 4.471 0.000
0.000 0.000 3.506
Fe Si Ge C
2 1 1 1
direct
0.000 0.500 0.000 Fe
0.500 0.000 0.000 Fe
0.000 0.000 0.000 Si
0.500 0.500 0.500 Ge
0.000 0.000 0.500 C

***

LaZrCu, relaxed, DFT GGA-PBE; DFT formation energy = -0.015 eV/atom
1.0
3.535 0.000 0.000
1.691 5.494 0.000
1.748 0.641 7.415
La Zr Cu
2 2 2
direct
0.063 0.196 0.170 La
0.937 0.804 0.830 La
0.334 0.268 0.555 Zr
0.666 0.732 0.445 Zr
0.355 0.627 0.168 Cu
0.645 0.373 0.832 Cu

***

Tb15ErSc4, relaxed, DFT GGA-PBE; DFT formation energy = 0.033 eV/atom
1.0
4.951 0.000 0.000
0.000 4.951 0.000
0.000 0.000 24.664
Tb Er Sc
15 1 4
direct
0.000 0.000 0.000 Tb
0.000 0.000 0.202 Tb
0.000 0.000 0.401 Tb
0.000 0.000 0.599 Tb
0.000 0.000 0.798 Tb
0.000 0.500 0.103 Tb
0.000 0.500 0.301 Tb
0.000 0.500 0.500 Tb
0.000 0.500 0.699 Tb
0.000 0.500 0.897 Tb
0.500 0.000 0.103 Tb
0.500 0.000 0.301 Tb
0.500 0.000 0.500 Tb
0.500 0.000 0.699 Tb
0.500 0.000 0.897 Tb
0.500 0.500 0.000 Er
0.500 0.500 0.202 Sc
0.500 0.500 0.401 Sc
0.500 0.500 0.599 Sc
0.500 0.500 0.798 Sc